# 1
Density functional theory data (PBE-GGA) for Ce2SmPbC after structural relaxation.

a = 5.1220 Å, b = 4.9703 Å, c = 4.9703 Å
α = 90.00°, β = 90.00°, γ = 90.00°
Site moments in Bohr magnetons follow the coordinates.
Sites, in units of the cell vectors:
Ce 0.0000 0.5000 0.0000  0.54
Ce 0.0000 0.0000 0.5000  0.54
C 0.0000 0.0000 0.0000  -0.04
Sm 0.5000 0.0000 0.0000  0.04
Pb 0.5000 0.5000 0.5000  -0.01

Summary:
Calculated total energy (eV/atom): -6.30
V (Å³/atom): 25.31



# 2
Density functional theory data (PBE-GGA) for CeSm3Pb2C after structural relaxation.

a = 4.8382 Å, b = 5.0018 Å, c = 8.9720 Å
α = 106.19°, β = 105.64°, γ = 90.00°
Site moments in Bohr magnetons follow the coordinates.
Sites, in units of the cell vectors:
Ce 0.5000 0.0000 0.0000  0.29
C 0.0000 0.0000 0.0000  -0.01
Pb 0.3584 0.3584 0.7167  0.00
Pb 0.6416 0.6416 0.2833  0.00
Sm 0.0000 0.5000 0.0000  0.02
Sm 0.8392 0.8392 0.6785  0.01
Sm 0.1608 0.1608 0.3215  0.01

Summary:
Calculated total energy (eV/atom): -5.69
V (Å³/atom): 28.59



# 3
Density functional theory data (PBE-GGA) for Ce6SnPb2C after structural relaxation.

a = 5.5397 Å, b = 5.5397 Å, c = 10.5732 Å
α = 90.00°, β = 90.00°, γ = 90.00°
Site moments in Bohr magnetons follow the coordinates.
Sites, in units of the cell vectors:
Pb 0.0000 0.0000 0.2561  -0.04
Pb 0.0000 0.0000 0.7439  -0.04
Ce 0.5000 0.5000 0.2823  0.76
Ce 0.5000 0.0000 0.0000  0.84
Ce 0.5000 0.0000 0.5000  1.04
Ce 0.5000 0.5000 0.7177  0.76
Ce 0.0000 0.5000 0.0000  0.84
Ce 0.0000 0.5000 0.5000  1.04
C 0.5000 0.5000 0.5000  -0.08
Sn 0.5000 0.5000 0.0000  -0.02

Summary:
Calculated total energy (eV/atom): -5.60
V (Å³/atom): 32.45



# 4
Density functional theory data (PBE-GGA) for Ce4SnPbC after structural relaxation.

a = 6.9571 Å, b = 6.9559 Å, c = 8.9029 Å
α = 90.00°, β = 113.00°, γ = 90.00°
Site moments in Bohr magnetons follow the coordinates.
Sites, in units of the cell vectors:
Ce 0.5000 0.5000 0.5000  0.42
Ce 0.0000 0.5000 0.5000  0.42
Ce 0.0000 0.0000 0.5000  0.42
Ce 0.0926 0.7500 0.1852  0.86
Ce 0.5000 0.0000 0.5000  0.42
Ce 0.4101 0.7500 0.8201  0.86
Ce 0.9074 0.2500 0.8148  0.86
Ce 0.5899 0.2500 0.1799  0.86
C 0.7484 0.2500 0.4969  -0.05
C 0.2516 0.7500 0.5031  -0.05
Pb 0.1080 0.2500 0.2160  -0.03
Pb 0.8920 0.7500 0.7840  -0.03
Sn 0.6114 0.7500 0.2227  -0.03
Sn 0.3886 0.2500 0.7773  -0.03

Summary:
Calculated total energy (eV/atom): -6.22
V (Å³/atom): 28.33



# 5
Density functional theory data (PBE-GGA) for TbCe2PbC after structural relaxation.

a = 5.0167 Å, b = 4.9749 Å, c = 4.9749 Å
α = 90.00°, β = 90.00°, γ = 90.00°
Site moments in Bohr magnetons follow the coordinates.
Sites, in units of the cell vectors:
Ce 0.0000 0.5000 0.0000  0.54
Ce 0.0000 0.0000 0.5000  0.54
C 0.0000 0.0000 0.0000  -0.04
Pb 0.5000 0.5000 0.5000  -0.01
Tb 0.5000 0.0000 0.0000  0.07

Summary:
Calculated total energy (eV/atom): -6.30
V (Å³/atom): 24.83



# 6
Density functional theory data (PBE-GGA) for Tb2CePbC after structural relaxation.

a = 4.9355 Å, b = 4.9863 Å, c = 4.9863 Å
α = 90.00°, β = 90.00°, γ = 90.00°
Site moments in Bohr magnetons follow the coordinates.
Sites, in units of the cell vectors:
Tb 0.0000 0.0000 0.5000  0.03
Tb 0.0000 0.5000 0.0000  0.03
Pb 0.5000 0.5000 0.5000  -0.01
Ce 0.5000 0.0000 0.0000  0.44
C 0.0000 0.0000 0.0000  -0.02

Summary:
Calculated total energy (eV/atom): -6.08
V (Å³/atom): 24.54



> Which value of V does entry 1 give?

25.31 Å³/atom



> The highest V belongs to which entry?

Ce6SnPb2C



> What is the formula in the second record?

CeSm3Pb2C



Please write out number 1 again, unchanged.
Density functional theory data (PBE-GGA) for Ce2SmPbC after structural relaxation.

a = 5.1220 Å, b = 4.9703 Å, c = 4.9703 Å
α = 90.00°, β = 90.00°, γ = 90.00°
Site moments in Bohr magnetons follow the coordinates.
Sites, in units of the cell vectors:
Ce 0.0000 0.5000 0.0000  0.54
Ce 0.0000 0.0000 0.5000  0.54
C 0.0000 0.0000 0.0000  -0.04
Sm 0.5000 0.0000 0.0000  0.04
Pb 0.5000 0.5000 0.5000  -0.01

Summary:
Calculated total energy (eV/atom): -6.30
V (Å³/atom): 25.31